P:
The following is a DFT calculation (PBE) of ScAgMo2 after structural relaxation.

Cell: 4.9051 2.7775 5.2284 Å, 80.58 90.00 90.00°
Last column: nearest neighbours and their distance in Å.
Atoms (fractional coordinates):
Mo 0.0000 0.5603 0.4843  3 Mo 2.50-2.78
Sc 0.5000 0.2500 0.2500  2 Ag 2.75, 2 Sc 2.78, 4 Mo 2.93
Mo 0.0000 0.9397 0.0157  3 Mo 2.50-2.78
Ag 0.5000 0.7500 0.7500  2 Sc 2.75, 2 Ag 2.78, 4 Mo 2.91

Computed properties:
- SG: No. 10
- Magnetic moment: 0.000 μB per atom


Q:
The following is a DFT calculation (PBE) of ScAgMo2 after structural relaxation.

Cell: 2.8007 4.1200 6.1098 Å, 90.00 90.00 90.00°
Last column: nearest neighbours and their distance in Å.
Atoms (fractional coordinates):
Mo 0.5000 0.5000 0.2290  6 Mo 2.80, 1 Ag 2.94, 4 Sc 3.00
Mo 0.0000 0.0000 0.0188  6 Mo 2.80, 1 Sc 2.96, 4 Ag 2.99
Sc 0.0000 0.0000 0.5040  2 Sc 2.80, 4 Ag 2.90, 5 Mo 2.96-3.00
Ag 0.5000 0.5000 0.7482  2 Ag 2.80, 4 Sc 2.90, 5 Mo 2.94-2.99

Computed properties:
- SG: No. 25
- Magnetic moment: 0.000 μB per atom


The energy of each structure relative to the most stable one, in kJ/mol of atoms, is as follows: P 0.0; Q 4.6.